A plane-wave DFT calculation with GGA-PBE was carried out for crystalline Mn2RhW at its relaxed geometry.

Geometry as extended XYZ:
```
4
Lattice="-2.288 2.472 3.226 -4.043 1.984 1.212 -1.886 -3.385 2.463" Properties=species:S:1:pos:R:3 pbc="T T T"
Rh -4.077 0.518 3.427
W -2.074 0.252 1.746
Mn -6.178 0.741 5.204
Mn -1.884 -3.289 2.438
```

symmetry = Cm (8)
distance to the lowest polymorph of the same formula = 79 meV/atom
density = 12.05 g/cm3
Fermi-level density of states = 1.18 states/eV/atom
DFT formation energy = 0.064 eV per atom